1.
## La2ZrCrGa (PBE)

Data for a geometry-optimized La2ZrCrGa structure.

Calculated values
Final energy = -28.62 eV/cell
ΔH_f (0 K) = 0.487 eV per atom
Mass density = 6.366 g/cm3
Total magnetic moment = 0.000 μB/cell

Structure (POSCAR):
```
La2ZrCrGa
1.0
5.0856 0.0000 0.0000
0.0000 4.9496 0.0000
0.0000 0.0000 5.0856
La Zr Cr Ga
2 1 1 1
Cartesian
2.5428 0.0000 0.0000
0.0000 0.0000 2.5428
2.5428 2.4748 2.5428
0.0000 0.0000 0.0000
0.0000 2.4748 0.0000
```

2.
## Ca2LaCo2 (PBE)

Data for a geometry-optimized Ca2LaCo2 structure.

Calculated values
Final energy = -21.78 eV/cell
ΔH_f (0 K) = 0.273 eV per atom
Mass density = 4.540 g/cm3
Total magnetic moment = 1.002 μB/cell
Relative energy among the computed polymorphs = 0.64 eV per formula unit

Structure (POSCAR):
```
Ca2LaCo2
1.0
-1.5847 3.0395 2.8190
-2.8863 1.3573 -3.0860
-6.4305 -1.9396 1.9700
Co La Ca
2 1 2
Cartesian
-7.9397 0.9752 1.4723
-2.9618 1.4820 0.2307
0.0000 0.0000 0.0000
-5.7762 0.8080 -0.6248
-5.1253 1.6491 2.3277
```